#one
DFT (GGA-PBE) results for MgZrAgPb after structural relaxation.

Values from the calculation:
Calculated density (g/cm³): 8.1
M_tot (Bohr magnetons per cell): 0.0
Density of states at the Fermi level (states/eV per atom): 0.816

Unit cell a=7.0636 b=7.0636 c=7.0636 alpha=90.00 beta=90.00 gamma=90.00
Space group F-43m (No. 216)
Symmetry-distinct sites (fractional):
Mg (0.0000, 0.0000, 0.0000) [4 per cell]
Zr (0.0000, 0.0000, 0.5000) [4 per cell]
Ag (0.2500, 0.2500, 0.7500) [4 per cell]
Pb (0.2500, 0.2500, 0.2500) [4 per cell]

***

#two
DFT (GGA-PBE) results for MgZrAgPb after structural relaxation.

Values from the calculation:
Calculated density (g/cm³): 8.3
M_tot (Bohr magnetons per cell): 0.0
Density of states at the Fermi level (states/eV per atom): 0.470

Unit cell a=4.2302 b=4.3320 c=4.7149 alpha=90.00 beta=90.00 gamma=90.00
Space group Pmmm (No. 47)
Symmetry-distinct sites (fractional):
Mg (0.0000, 0.0000, 0.0000) [1 per cell]
Zr (0.0000, 0.5000, 0.5000) [1 per cell]
Ag (0.5000, 0.5000, 0.0000) [1 per cell]
Pb (0.5000, 0.0000, 0.5000) [1 per cell]

***

Name the most stable of them. #two.

***

#one
DFT (GGA-PBE) results for Mg4AgPd2 after structural relaxation.

Values from the calculation:
Calculated density (g/cm³): 5.3
M_tot (Bohr magnetons per cell): 0.0
Density of states at the Fermi level (states/eV per atom): 0.481

Unit cell a=4.5848 b=4.5848 c=21.5368 alpha=90.00 beta=90.00 gamma=120.00
Space group R-3m (No. 166, hexagonal axes)
Symmetry-distinct sites (fractional):
Mg (0.0000, 0.0000, 0.1137) [6 per cell]
Mg (0.0000, 0.0000, 0.3690) [6 per cell]
Ag (0.0000, 0.0000, 0.5000) [3 per cell]
Pd (0.0000, 0.0000, 0.2431) [6 per cell]

***

#two
DFT (GGA-PBE) results for Mg4AgPd2 after structural relaxation.

Values from the calculation:
Calculated density (g/cm³): 5.3
M_tot (Bohr magnetons per cell): 0.0
Density of states at the Fermi level (states/eV per atom): 0.415

Unit cell a=14.2267 b=3.0202 c=6.9011 alpha=90.00 beta=117.69 gamma=90.00
Space group C2/m (No. 12)
Symmetry-distinct sites (fractional):
Mg (0.0972, 0.0000, 0.2357) [4 per cell]
Mg (0.1413, 0.5000, 0.8782) [4 per cell]
Ag (0.0000, 0.0000, 0.5000) [2 per cell]
Pd (0.2307, 0.0000, 0.6735) [4 per cell]

***

Name the most stable of them. #one.

***

#one
DFT (GGA-PBE) results for Mg6AgPd2 after structural relaxation.

Values from the calculation:
Calculated density (g/cm³): 4.7
M_tot (Bohr magnetons per cell): 0.0
Density of states at the Fermi level (states/eV per atom): 0.448

Unit cell a=4.6812 b=4.6812 c=8.6848 alpha=90.00 beta=90.00 gamma=120.00
Space group P-3m1 (No. 164)
Symmetry-distinct sites (fractional):
Mg (0.0000, 0.0000, 0.1905) [2 per cell]
Mg (0.3333, 0.6667, 0.0578) [2 per cell]
Mg (0.3333, 0.6667, 0.4034) [2 per cell]
Ag (0.0000, 0.0000, 0.5000) [1 per cell]
Pd (0.3333, 0.6667, 0.7401) [2 per cell]

***

#two
DFT (GGA-PBE) results for Mg6AgPd2 after structural relaxation.

Values from the calculation:
Calculated density (g/cm³): 4.0
M_tot (Bohr magnetons per cell): 0.0
Density of states at the Fermi level (states/eV per atom): 0.435

Unit cell a=14.0713 b=6.4364 c=4.5589 alpha=90.00 beta=108.52 gamma=90.00
Space group C2/m (No. 12)
Symmetry-distinct sites (fractional):
Mg (0.0000, 0.2400, 0.0000) [4 per cell]
Mg (0.1714, 0.2399, 0.6725) [8 per cell]
Ag (0.0000, 0.5000, 0.5000) [2 per cell]
Pd (0.1673, 0.0000, 0.1682) [4 per cell]

***

Name the most stable of them. #one.

***

#one
DFT (GGA-PBE) results for MgAg2Pd8 after structural relaxation.

Values from the calculation:
Calculated density (g/cm³): 9.8
M_tot (Bohr magnetons per cell): 0.0
Density of states at the Fermi level (states/eV per atom): 0.947

Unit cell a=8.0980 b=10.6581 c=4.2953 alpha=90.00 beta=90.00 gamma=90.00
Space group Cmmm (No. 65)
Symmetry-distinct sites (fractional):
Mg (0.0000, 0.0000, 0.0000) [2 per cell]
Ag (0.0000, 0.3764, 0.5000) [4 per cell]
Pd (0.0000, 0.2380, 0.0000) [4 per cell]
Pd (0.1684, 0.1309, 0.5000) [8 per cell]
Pd (0.1738, 0.5000, 0.0000) [4 per cell]

***

#two
DFT (GGA-PBE) results for MgAg2Pd8 after structural relaxation.

Values from the calculation:
Calculated density (g/cm³): 9.6
M_tot (Bohr magnetons per cell): 0.0
Density of states at the Fermi level (states/eV per atom): 1.188

Unit cell a=7.2521 b=14.0627 c=4.8544 alpha=90.00 beta=130.64 gamma=90.00
Space group C2/m (No. 12)
Symmetry-distinct sites (fractional):
Mg (0.0000, 0.0000, 0.0000) [2 per cell]
Ag (0.0000, 0.3171, 0.5000) [4 per cell]
Pd (0.0000, 0.1889, 0.0000) [4 per cell]
Pd (0.0465, 0.5000, 0.7919) [4 per cell]
Pd (0.2409, 0.1390, 0.7305) [8 per cell]

***

Name the most stable of them. #two.

***

#one
DFT (GGA-PBE) results for MgAgPd6 after structural relaxation.

Values from the calculation:
Calculated density (g/cm³): 10.1
M_tot (Bohr magnetons per cell): 0.0
Density of states at the Fermi level (states/eV per atom): 1.446

Unit cell a=3.9787 b=3.9787 c=7.9788 alpha=90.00 beta=90.00 gamma=90.00
Space group P4/mmm (No. 123)
Symmetry-distinct sites (fractional):
Mg (0.0000, 0.0000, 0.0000) [1 per cell]
Ag (0.0000, 0.0000, 0.5000) [1 per cell]
Pd (0.0000, 0.5000, 0.2462) [4 per cell]
Pd (0.5000, 0.5000, 0.0000) [1 per cell]
Pd (0.5000, 0.5000, 0.5000) [1 per cell]

***

#two
DFT (GGA-PBE) results for MgAgPd6 after structural relaxation.

Values from the calculation:
Calculated density (g/cm³): 7.6
M_tot (Bohr magnetons per cell): 0.0
Density of states at the Fermi level (states/eV per atom): 1.134

Unit cell a=5.2968 b=5.2968 c=20.8735 alpha=90.00 beta=90.00 gamma=120.00
Space group R-3m (No. 166, hexagonal axes)
Symmetry-distinct sites (fractional):
Mg (0.0000, 0.0000, 0.0000) [3 per cell]
Ag (0.0000, 0.0000, 0.5000) [3 per cell]
Pd (0.0036, 0.5018, 0.4364) [18 per cell]

***

Name the most stable of them. #one.

***

#one
DFT (GGA-PBE) results for MgAg3Pd4 after structural relaxation.

Values from the calculation:
Calculated density (g/cm³): 9.5
M_tot (Bohr magnetons per cell): 0.0
Density of states at the Fermi level (states/eV per atom): 0.377

Unit cell a=5.4842 b=9.1765 c=5.3994 alpha=90.00 beta=90.00 gamma=90.00
Space group Imm2 (No. 44)
Symmetry-distinct sites (fractional):
Mg (0.0000, 0.0000, 0.0000) [2 per cell]
Ag (0.0000, 0.2454, 0.7293) [4 per cell]
Ag (0.0000, 0.5000, 0.4740) [2 per cell]
Pd (0.0000, 0.2456, 0.2271) [4 per cell]
Pd (0.2488, 0.5000, 0.9817) [4 per cell]

***

#two
DFT (GGA-PBE) results for MgAg3Pd4 after structural relaxation.

Values from the calculation:
Calculated density (g/cm³): 9.8
M_tot (Bohr magnetons per cell): 0.0
Density of states at the Fermi level (states/eV per atom): 0.471

Unit cell a=4.0974 b=4.0974 c=15.6118 alpha=90.00 beta=90.00 gamma=90.00
Space group I4/mmm (No. 139)
Symmetry-distinct sites (fractional):
Mg (0.0000, 0.0000, 0.0000) [2 per cell]
Ag (0.0000, 0.0000, 0.2501) [4 per cell]
Ag (0.0000, 0.0000, 0.5000) [2 per cell]
Pd (0.0000, 0.5000, 0.1221) [8 per cell]

***

Name the most stable of them. #two.

***

#one
DFT (GGA-PBE) results for Mg3AgPd after structural relaxation.

Values from the calculation:
Calculated density (g/cm³): 4.7
M_tot (Bohr magnetons per cell): 0.0
Density of states at the Fermi level (states/eV per atom): 0.383

Unit cell a=14.5731 b=9.6181 c=5.7721 alpha=90.00 beta=91.14 gamma=90.00
Space group C2/c (No. 15)
Symmetry-distinct sites (fractional):
Mg (0.0939, 0.0440, 0.3865) [8 per cell]
Mg (0.0997, 0.4371, 0.6346) [8 per cell]
Mg (0.2139, 0.2786, 0.2324) [8 per cell]
Ag (0.0000, 0.1991, 0.7500) [4 per cell]
Ag (0.0000, 0.3016, 0.2500) [4 per cell]
Pd (0.2485, 0.0213, 0.0907) [8 per cell]

***

#two
DFT (GGA-PBE) results for Mg3AgPd after structural relaxation.

Values from the calculation:
Calculated density (g/cm³): 5.2
M_tot (Bohr magnetons per cell): 0.0
Density of states at the Fermi level (states/eV per atom): 0.257

Unit cell a=4.6164 b=4.6239 c=8.8796 alpha=90.00 beta=105.18 gamma=90.00
Space group P2_1/m (No. 11)
Symmetry-distinct sites (fractional):
Mg (0.0623, 0.2500, 0.1242) [2 per cell]
Mg (0.2490, 0.2500, 0.4990) [2 per cell]
Mg (0.4358, 0.2500, 0.8715) [2 per cell]
Ag (0.3444, 0.7500, 0.6885) [2 per cell]
Pd (0.1529, 0.7500, 0.3046) [2 per cell]

***

Name the most stable of them. #two.

***

#one
DFT (GGA-PBE) results for Mg6Ag2Pd after structural relaxation.

Values from the calculation:
Calculated density (g/cm³): 3.8
M_tot (Bohr magnetons per cell): 0.0
Density of states at the Fermi level (states/eV per atom): 0.303

Unit cell a=14.4655 b=6.4783 c=4.5587 alpha=90.00 beta=108.10 gamma=90.00
Space group C2/m (No. 12)
Symmetry-distinct sites (fractional):
Mg (0.0000, 0.2376, 0.0000) [4 per cell]
Mg (0.1614, 0.2429, 0.6612) [8 per cell]
Ag (0.1667, 0.5000, 0.1664) [4 per cell]
Pd (0.0000, 0.0000, 0.5000) [2 per cell]

***

#two
DFT (GGA-PBE) results for Mg6Ag2Pd after structural relaxation.

Values from the calculation:
Calculated density (g/cm³): 4.5
M_tot (Bohr magnetons per cell): 0.0
Density of states at the Fermi level (states/eV per atom): 0.276

Unit cell a=8.2155 b=4.7460 c=8.8327 alpha=90.00 beta=90.06 gamma=90.00
Space group C2/m (No. 12)
Symmetry-distinct sites (fractional):
Mg (0.0000, 0.0000, 0.1967) [4 per cell]
Mg (0.1667, 0.5000, 0.5901) [4 per cell]
Mg (0.1667, 0.5000, 0.9412) [4 per cell]
Ag (0.1667, 0.5000, 0.2650) [4 per cell]
Pd (0.0000, 0.0000, 0.5000) [2 per cell]

***

Name the most stable of them. #two.

***

#one
DFT (GGA-PBE) results for Mg2AgPd3 after structural relaxation.

Values from the calculation:
Calculated density (g/cm³): 8.1
M_tot (Bohr magnetons per cell): 0.0
Density of states at the Fermi level (states/eV per atom): 0.395

Unit cell a=4.2551 b=12.7071 c=3.6057 alpha=90.00 beta=90.00 gamma=90.00
Space group Cmmm (No. 65)
Symmetry-distinct sites (fractional):
Mg (0.0000, 0.1610, 0.0000) [4 per cell]
Ag (0.0000, 0.5000, 0.0000) [2 per cell]
Pd (0.0000, 0.0000, 0.5000) [2 per cell]
Pd (0.0000, 0.3281, 0.5000) [4 per cell]

***

#two
DFT (GGA-PBE) results for Mg2AgPd3 after structural relaxation.

Values from the calculation:
Calculated density (g/cm³): 8.1
M_tot (Bohr magnetons per cell): 0.0
Density of states at the Fermi level (states/eV per atom): 0.140

Unit cell a=3.0520 b=3.0520 c=10.4310 alpha=90.00 beta=90.00 gamma=90.00
Space group P4/mmm (No. 123)
Symmetry-distinct sites (fractional):
Mg (0.0000, 0.0000, 0.1660) [2 per cell]
Ag (0.0000, 0.0000, 0.5000) [1 per cell]
Pd (0.5000, 0.5000, 0.0000) [1 per cell]
Pd (0.5000, 0.5000, 0.3209) [2 per cell]

***

Name the most stable of them. #one.

***

#one
DFT (GGA-PBE) results for MgAgPd5 after structural relaxation.

Values from the calculation:
Calculated density (g/cm³): 9.0
M_tot (Bohr magnetons per cell): 0.0
Density of states at the Fermi level (states/eV per atom): 0.961

Unit cell a=5.0885 b=5.2093 c=9.2366 alpha=90.00 beta=90.00 gamma=90.00
Space group Imm2 (No. 44)
Symmetry-distinct sites (fractional):
Mg (0.0000, 0.0000, 0.0000) [2 per cell]
Ag (0.0000, 0.5000, 0.3369) [2 per cell]
Pd (0.0000, 0.2436, 0.5906) [4 per cell]
Pd (0.0000, 0.5000, 0.0602) [2 per cell]
Pd (0.2459, 0.0000, 0.3093) [4 per cell]

***

#two
DFT (GGA-PBE) results for MgAgPd5 after structural relaxation.

Values from the calculation:
Calculated density (g/cm³): 9.2
M_tot (Bohr magnetons per cell): 0.0
Density of states at the Fermi level (states/eV per atom): 1.116

Unit cell a=3.9172 b=3.9172 c=7.7811 alpha=90.00 beta=90.00 gamma=90.00
Space group P4/mmm (No. 123)
Symmetry-distinct sites (fractional):
Mg (0.0000, 0.0000, 0.0000) [1 per cell]
Ag (0.5000, 0.5000, 0.5000) [1 per cell]
Pd (0.0000, 0.0000, 0.5000) [1 per cell]
Pd (0.0000, 0.5000, 0.2340) [4 per cell]

***

Name the most stable of them. #two.

***

#one
DFT (GGA-PBE) results for MgAg3Pd6 after structural relaxation.

Values from the calculation:
Calculated density (g/cm³): 10.1
M_tot (Bohr magnetons per cell): 0.0
Density of states at the Fermi level (states/eV per atom): 0.698

Unit cell a=8.9417 b=4.0197 c=8.9992 alpha=90.00 beta=90.62 gamma=90.00
Space group P2_1/m (No. 11)
Symmetry-distinct sites (fractional):
Mg (0.0578, 0.2500, 0.3861) [2 per cell]
Ag (0.2490, 0.2500, 0.9971) [2 per cell]
Ag (0.3455, 0.7500, 0.7959) [2 per cell]
Ag (0.4467, 0.2500, 0.5976) [2 per cell]
Pd (0.0458, 0.7500, 0.8985) [2 per cell]
Pd (0.1375, 0.2500, 0.6904) [2 per cell]
Pd (0.1522, 0.7500, 0.1964) [2 per cell]
Pd (0.2375, 0.7500, 0.4944) [2 per cell]
Pd (0.3485, 0.2500, 0.2973) [2 per cell]
Pd (0.4500, 0.7500, 0.0998) [2 per cell]

***

#two
DFT (GGA-PBE) results for MgAg3Pd6 after structural relaxation.

Values from the calculation:
Calculated density (g/cm³): 9.5
M_tot (Bohr magnetons per cell): 0.0
Density of states at the Fermi level (states/eV per atom): 0.733

Unit cell a=5.2591 b=5.2591 c=7.1839 alpha=90.00 beta=90.00 gamma=120.00
Space group P-31m (No. 162)
Symmetry-distinct sites (fractional):
Mg (0.0000, 0.0000, 0.0000) [1 per cell]
Ag (0.0000, 0.0000, 0.5000) [1 per cell]
Ag (0.3333, 0.6667, 0.5000) [2 per cell]
Pd (0.0000, 0.4255, 0.8188) [6 per cell]

***

Name the most stable of them. #one.

***

#one
DFT (GGA-PBE) results for MgAgPdPt after structural relaxation.

Values from the calculation:
Calculated density (g/cm³): 11.0
M_tot (Bohr magnetons per cell): 0.0
Density of states at the Fermi level (states/eV per atom): 0.487

Unit cell a=6.3908 b=6.3908 c=6.3908 alpha=90.00 beta=90.00 gamma=90.00
Space group F-43m (No. 216)
Symmetry-distinct sites (fractional):
Mg (0.0000, 0.0000, 0.0000) [4 per cell]
Ag (0.0000, 0.0000, 0.5000) [4 per cell]
Pd (0.2500, 0.2500, 0.7500) [4 per cell]
Pt (0.2500, 0.2500, 0.2500) [4 per cell]

***

#two
DFT (GGA-PBE) results for MgAgPdPt after structural relaxation.

Values from the calculation:
Calculated density (g/cm³): 11.1
M_tot (Bohr magnetons per cell): 0.0
Density of states at the Fermi level (states/eV per atom): 0.611

Unit cell a=3.8757 b=4.0691 c=4.1163 alpha=90.00 beta=90.00 gamma=90.00
Space group Pmmm (No. 47)
Symmetry-distinct sites (fractional):
Mg (0.0000, 0.0000, 0.0000) [1 per cell]
Ag (0.0000, 0.5000, 0.5000) [1 per cell]
Pd (0.5000, 0.0000, 0.5000) [1 per cell]
Pt (0.5000, 0.5000, 0.0000) [1 per cell]

***

Name the most stable of them. #two.